[1]
HfAlTcAu | GGA-PBE | optimized geometry

The space group is F-43m (No. 216) and the conventional cell measures 6.461, 6.461 and 6.461 Å, with angles of 90.00, 90.00 and 90.00 degrees. The distinct sites, in fractional coordinates, are Hf at (0.000, 0.000, 0.000), Al at (0.000, 0.000, 0.500), Tc at (0.250, 0.250, 0.750) and Au at (0.250, 0.250, 0.250).

Its energy relative to the elements is -0.355 eV per atom. The spin magnetization comes out at 0.0 μB per formula unit. As for the raw total energy: -7.19 eV/atom.

[2]
Nd5Ir2Pd2 | GGA-PBE | optimized geometry

The space group is Ima2 (No. 46) and the conventional cell measures 17.480, 7.203 and 7.506 Å, with angles of 90.00, 90.00 and 90.00 degrees. The distinct sites, in fractional coordinates, are Nd at (0.069, 0.177, 0.000), Nd at (0.151, 0.671, 0.843), Nd at (0.250, 0.139, 0.719), Ir at (0.000, 0.000, 0.305), Ir at (0.250, 0.517, 0.559) and Pd at (0.076, 0.542, 0.162).

Its energy relative to the elements is -0.605 eV per atom. The spin magnetization comes out at 0.0 μB per formula unit. As for the raw total energy: -6.38 eV/atom.

[3]
TcRu4 | GGA-PBE | optimized geometry

The space group is Pm-3m (No. 221) and the conventional cell measures 4.584, 4.584 and 4.584 Å, with angles of 90.00, 90.00 and 90.00 degrees. The distinct sites, in fractional coordinates, are Tc at (0.000, 0.000, 0.000), Ru at (0.000, 0.000, 0.500) and Ru at (0.500, 0.500, 0.500).

Its energy relative to the elements is 1.923 eV per atom. The spin magnetization comes out at 4.6 μB per formula unit. As for the raw total energy: -7.57 eV/atom.

[4]
Pm2BeBi | GGA-PBE | optimized geometry

The space group is Fm-3m (No. 225) and the conventional cell measures 7.546, 7.546 and 7.546 Å, with angles of 90.00, 90.00 and 90.00 degrees. The distinct sites, in fractional coordinates, are Pm at (0.250, 0.250, 0.250), Be at (0.000, 0.000, 0.000) and Bi at (0.000, 0.000, 0.500).

Its energy relative to the elements is -0.118 eV per atom. The spin magnetization comes out at 0.0 μB per formula unit. As for the raw total energy: -4.39 eV/atom.

Q: raw total energy of number 4 (Pm2BeBi)?
A: -4.39 eV/atom

What did the third record say?
TcRu4 | GGA-PBE | optimized geometry

The space group is Pm-3m (No. 221) and the conventional cell measures 4.584, 4.584 and 4.584 Å, with angles of 90.00, 90.00 and 90.00 degrees. The distinct sites, in fractional coordinates, are Tc at (0.000, 0.000, 0.000), Ru at (0.000, 0.000, 0.500) and Ru at (0.500, 0.500, 0.500).

Its energy relative to the elements is 1.923 eV per atom. The spin magnetization comes out at 4.6 μB per formula unit. As for the raw total energy: -7.57 eV/atom.

Q: Number 4 is which compound?
A: Pm2BeBi

What did the fourth record say?
Pm2BeBi | GGA-PBE | optimized geometry

The space group is Fm-3m (No. 225) and the conventional cell measures 7.546, 7.546 and 7.546 Å, with angles of 90.00, 90.00 and 90.00 degrees. The distinct sites, in fractional coordinates, are Pm at (0.250, 0.250, 0.250), Be at (0.000, 0.000, 0.000) and Bi at (0.000, 0.000, 0.500).

Its energy relative to the elements is -0.118 eV per atom. The spin magnetization comes out at 0.0 μB per formula unit. As for the raw total energy: -4.39 eV/atom.